First-principles (PBE) data for a relaxed structure of Pm4RhC, as listed in the Alexandria database.

Unit cell a=3.7419 b=7.9087 c=7.0742 alpha=122.27 beta=90.00 gamma=103.68
Fractional positions:
Pm 0.3833 0.7665 0.0696
Pm 0.1081 0.2162 0.4700
Pm 0.6167 0.2335 0.9304
Pm 0.8919 0.7838 0.5300
Rh 0.0000 0.0000 0.0000
C 0.5000 0.0000 0.5000

Values from the calculation:
The calculated total energy is -6.1677 eV per atom. Its space group is C2/m, No. 12. As for the energy of formation from the pure elements: -238 meV/atom. The calculation puts the density of states at the Fermi level at 5.73 states/eV per cell.

First-principles (PBE) data for a relaxed structure of Pm2Rh6C, as listed in the Alexandria database.

Unit cell a=5.8778 b=5.8778 c=5.8778 alpha=60.00 beta=60.00 gamma=60.00
Fractional positions:
Pm 0.2500 0.2500 0.2500
Pm 0.7500 0.7500 0.7500
Rh 0.2525 0.7475 0.7475
Rh 0.2525 0.7475 0.2525
Rh 0.7475 0.2525 0.7475
Rh 0.7475 0.2525 0.2525
Rh 0.7475 0.7475 0.2525
Rh 0.2525 0.2525 0.7475
C 0.0000 0.0000 0.0000

Values from the calculation:
The calculated total energy is -7.4605 eV per atom. Its space group is Fm-3m, No. 225. As for the energy of formation from the pure elements: -479 meV/atom. The calculation puts the density of states at the Fermi level at 7.69 states/eV per cell.

First-principles (PBE) data for a relaxed structure of Pm2SbRh6C, as listed in the Alexandria database.

Unit cell a=4.6595 b=4.6595 c=8.8133 alpha=90.00 beta=90.00 gamma=90.00
Fractional positions:
Pm 0.0000 0.0000 0.7381
Pm 0.0000 0.0000 0.2619
Sb 0.5000 0.5000 0.0000
Rh 0.5000 0.0000 0.0000
Rh 0.5000 0.0000 0.5000
Rh 0.0000 0.5000 0.0000
Rh 0.0000 0.5000 0.5000
Rh 0.5000 0.5000 0.7112
Rh 0.5000 0.5000 0.2888
C 0.5000 0.5000 0.5000

Values from the calculation:
The calculated total energy is -6.7993 eV per atom. Its space group is P4/mmm, No. 123. The calculation puts the density of states at the Fermi level at 5.66 states/eV per cell. For the uncorrected formation energy, the calculation gives -0.10 eV per atom.

First-principles (PBE) data for a relaxed structure of Pm3RuC4, as listed in the Alexandria database.

Unit cell a=3.6453 b=4.9728 c=7.5547 alpha=101.68 beta=103.96 gamma=90.00
Fractional positions:
Pm 0.0000 0.5000 0.0000
Pm 0.1736 0.1915 0.3472
Pm 0.8264 0.8085 0.6528
Ru 0.5000 0.0000 0.0000
C 0.3522 0.4221 0.7044
C 0.6478 0.5779 0.2957
C 0.6079 0.7973 0.2157
C 0.3921 0.2027 0.7843

Values from the calculation:
The calculated total energy is -7.6916 eV per atom. Its space group is C2/m, No. 12. As for the energy of formation from the pure elements: -139 meV/atom. The calculation puts the density of states at the Fermi level at 2.99 states/eV per cell.